A relaxed RbSbPdAu crystal. Source: Alexandria via LeMat-Bulk, functional PBE.

- total magnetization (μB per formula unit) = 0.00
- electronic total energy (Ry/atom) = -0.26896
- uncorrected formation energy (eV/f.u.) = -1.08

a b c (Å): 3.9858 3.9858 14.4267
angles (deg): 90.00 90.00 90.00
With the nearest neighbours (Å) after each atom.
Positions (direct):
1 Pd 0.2500 0.7500 0.0000  4 Sb 2.70, 4 Pd 2.82
2 Au 0.2500 0.7500 0.5000  4 Au 2.82
3 Au 0.7500 0.2500 0.5000  4 Au 2.82
4 Pd 0.7500 0.2500 0.0000  4 Sb 2.70, 4 Pd 2.82
5 Sb 0.7500 0.7500 0.8740  4 Pd 2.70
6 Rb 0.2500 0.2500 0.7046  4 Au 3.56, 4 Sb 3.73, 4 Rb 3.99
7 Rb 0.7500 0.7500 0.2954  4 Au 3.56, 4 Sb 3.73, 4 Rb 3.99
8 Sb 0.2500 0.2500 0.1260  4 Pd 2.70



A relaxed RbSc2PdAu crystal. Source: Alexandria via LeMat-Bulk, functional PBE.

- total magnetization (μB per formula unit) = 0.00
- electronic total energy (Ry/atom) = -0.22118
- DFT formation energy (meV per atom) = 1410.8

a b c (Å): 5.0338 4.8511 5.0338
angles (deg): 90.00 90.00 90.00
With the nearest neighbours (Å) after each atom.
Positions (direct):
1 Rb 0.0000 0.0000 0.0000  2 Pd 2.43, 4 Sc 2.52
2 Au 0.5000 0.5000 0.5000  8 Sc 3.50, 4 Pd 3.56
3 Sc 0.5000 0.0000 0.0000  2 Rb 2.52
4 Pd 0.0000 0.5000 0.0000  2 Rb 2.43
5 Sc 0.0000 0.0000 0.5000  2 Rb 2.52